Below is a relaxed structure of Li2Sn2Hg5, with properties calculated at the GGA-PBE level.

The structure in CIF format:
```
data_Li2Sn2Hg5
_symmetry_space_group_name_H-M 'P 1 21/c 1'
_symmetry_Int_Tables_number 14
_symmetry_space_group_name_Hall '-P 2ybc'
_cell_length_a 7.1788
_cell_length_b 8.4051
_cell_length_c 7.1245
_cell_angle_alpha 90.00
_cell_angle_beta 98.79
_cell_angle_gamma 90.00
loop_
_atom_site_label
_atom_site_type_symbol
_atom_site_fract_x
_atom_site_fract_y
_atom_site_fract_z
_atom_site_occupancy
Li1 Li 0.0749 0.1637 0.1345 1
Sn1 Sn 0.4059 0.1615 0.4794 1
Hg1 Hg 0.0000 0.0000 0.5000 1
Hg2 Hg 0.2183 0.6622 0.7043 1
Hg3 Hg 0.3088 0.5006 0.3551 1
```

Calculated values
Total magnetization (Bohr magnetons per cell): 0.00
Formation enthalpy at 0 K (eV per atom): -0.1189
Density of states at the Fermi level (states/eV/cell): 5.0

Below is a relaxed structure of Li2SnHg4, with properties calculated at the GGA-PBE level.

The structure in CIF format:
```
data_Li2SnHg4
_symmetry_space_group_name_H-M 'R -3 m'
_symmetry_Int_Tables_number 166
_symmetry_space_group_name_Hall '-R 3 2"'
_cell_length_a 4.8529
_cell_length_b 4.8529
_cell_length_c 23.5311
_cell_angle_alpha 90.00
_cell_angle_beta 90.00
_cell_angle_gamma 120.00
loop_
_atom_site_label
_atom_site_type_symbol
_atom_site_fract_x
_atom_site_fract_y
_atom_site_fract_z
_atom_site_occupancy
Li1 Li 0.0000 0.0000 0.2418 1
Sn1 Sn 0.0000 0.0000 0.5000 1
Hg1 Hg 0.0000 0.0000 0.1100 1
Hg2 Hg 0.0000 0.0000 0.3616 1
```

Calculated values
Total magnetization (Bohr magnetons per cell): 0.00
Formation enthalpy at 0 K (eV per atom): -0.1936
Density of states at the Fermi level (states/eV/cell): 6.9

Below is a relaxed structure of Li3SnHg, with properties calculated at the GGA-PBE level.

The structure in CIF format:
```
data_Li3SnHg
_symmetry_space_group_name_H-M 'C 1 2/m 1'
_symmetry_Int_Tables_number 12
_symmetry_space_group_name_Hall '-C 2y'
_cell_length_a 13.7435
_cell_length_b 4.8625
_cell_length_c 5.7968
_cell_angle_alpha 90.00
_cell_angle_beta 100.69
_cell_angle_gamma 90.00
loop_
_atom_site_label
_atom_site_type_symbol
_atom_site_fract_x
_atom_site_fract_y
_atom_site_fract_z
_atom_site_occupancy
Li1 Li 0.0009 0.0000 0.2630 1
Li2 Li 0.0937 0.5000 0.1520 1
Li3 Li 0.2069 0.0000 0.5614 1
Sn1 Sn 0.1047 0.5000 0.6507 1
Hg1 Hg 0.1762 0.0000 0.0677 1
```

Calculated values
Total magnetization (Bohr magnetons per cell): 0.00
Formation enthalpy at 0 K (eV per atom): -0.3327
Density of states at the Fermi level (states/eV/cell): 6.0

Below is a relaxed structure of Li5Sn6Hg, with properties calculated at the GGA-PBE level.

The structure in CIF format:
```
data_Li5Sn6Hg
_symmetry_space_group_name_H-M 'I m m m'
_symmetry_Int_Tables_number 71
_symmetry_space_group_name_Hall '-I 2 2'
_cell_length_a 4.4589
_cell_length_b 8.7861
_cell_length_c 13.3847
_cell_angle_alpha 90.00
_cell_angle_beta 90.00
_cell_angle_gamma 90.00
loop_
_atom_site_label
_atom_site_type_symbol
_atom_site_fract_x
_atom_site_fract_y
_atom_site_fract_z
_atom_site_occupancy
Li1 Li 0.0000 0.0000 0.0000 1
Li2 Li 0.0000 0.0000 0.3509 1
Li3 Li 0.0000 0.5000 0.3225 1
Sn1 Sn 0.0000 0.2371 0.1707 1
Sn2 Sn 0.0000 0.2733 0.5000 1
Hg1 Hg 0.0000 0.5000 0.0000 1
```

Calculated values
Total magnetization (Bohr magnetons per cell): 0.00
Formation enthalpy at 0 K (eV per atom): -0.2541
Density of states at the Fermi level (states/eV/cell): 9.8

Below is a relaxed structure of Li12Sn2Hg5, with properties calculated at the GGA-PBE level.

The structure in CIF format:
```
data_Li12Sn2Hg5
_symmetry_space_group_name_H-M 'C 1 2/m 1'
_symmetry_Int_Tables_number 12
_symmetry_space_group_name_Hall '-C 2y'
_cell_length_a 13.5385
_cell_length_b 7.4932
_cell_length_c 7.1034
_cell_angle_alpha 90.00
_cell_angle_beta 91.75
_cell_angle_gamma 90.00
loop_
_atom_site_label
_atom_site_type_symbol
_atom_site_fract_x
_atom_site_fract_y
_atom_site_fract_z
_atom_site_occupancy
Li1 Li 0.0550 0.0000 0.2243 1
Li2 Li 0.1087 0.2247 0.8665 1
Li3 Li 0.1600 0.5000 0.6144 1
Li4 Li 0.1730 0.2994 0.2636 1
Sn1 Sn 0.0000 0.2722 0.5000 1
Hg1 Hg 0.0000 0.5000 0.0000 1
Hg2 Hg 0.1696 0.0000 0.5777 1
Hg3 Hg 0.2448 0.0000 0.0428 1
```

Calculated values
Total magnetization (Bohr magnetons per cell): 0.00
Formation enthalpy at 0 K (eV per atom): -0.2895
Density of states at the Fermi level (states/eV/cell): 7.7

Below is a relaxed structure of LiSn2Hg4, with properties calculated at the GGA-PBE level.

The structure in CIF format:
```
data_LiSn2Hg4
_symmetry_space_group_name_H-M 'C 1 2/m 1'
_symmetry_Int_Tables_number 12
_symmetry_space_group_name_Hall '-C 2y'
_cell_length_a 8.9048
_cell_length_b 5.1596
_cell_length_c 8.9793
_cell_angle_alpha 90.00
_cell_angle_beta 90.15
_cell_angle_gamma 90.00
loop_
_atom_site_label
_atom_site_type_symbol
_atom_site_fract_x
_atom_site_fract_y
_atom_site_fract_z
_atom_site_occupancy
Li1 Li 0.0000 0.0000 0.0000 1
Sn1 Sn 0.1669 0.5000 0.5027 1
Hg1 Hg 0.1644 0.5000 0.8378 1
Hg2 Hg 0.1695 0.5000 0.1678 1
```

Calculated values
Total magnetization (Bohr magnetons per cell): 0.00
Formation enthalpy at 0 K (eV per atom): -0.0094
Density of states at the Fermi level (states/eV/cell): 4.5

Below is a relaxed structure of LiSn2Hg, with properties calculated at the GGA-PBE level.

The structure in CIF format:
```
data_LiSn2Hg
_symmetry_space_group_name_H-M 'P 4/m m m'
_symmetry_Int_Tables_number 123
_symmetry_space_group_name_Hall '-P 4 2'
_cell_length_a 3.3404
_cell_length_b 3.3404
_cell_length_c 8.4259
_cell_angle_alpha 90.00
_cell_angle_beta 90.00
_cell_angle_gamma 90.00
loop_
_atom_site_label
_atom_site_type_symbol
_atom_site_fract_x
_atom_site_fract_y
_atom_site_fract_z
_atom_site_occupancy
Li1 Li 0.0000 0.0000 0.0000 1
Sn1 Sn 0.5000 0.5000 0.2159 1
Hg1 Hg 0.0000 0.0000 0.5000 1
```

Calculated values
Total magnetization (Bohr magnetons per cell): 0.00
Formation enthalpy at 0 K (eV per atom): -0.0678
Density of states at the Fermi level (states/eV/cell): 1.8

Below is a relaxed structure of LiSn2Hg, with properties calculated at the GGA-PBE level.

The structure in CIF format:
```
data_LiSn2Hg
_symmetry_space_group_name_H-M 'I -4 2 d'
_symmetry_Int_Tables_number 122
_symmetry_space_group_name_Hall 'I -4 2bw'
_cell_length_a 8.1210
_cell_length_b 8.1210
_cell_length_c 6.1786
_cell_angle_alpha 90.00
_cell_angle_beta 90.00
_cell_angle_gamma 90.00
loop_
_atom_site_label
_atom_site_type_symbol
_atom_site_fract_x
_atom_site_fract_y
_atom_site_fract_z
_atom_site_occupancy
Li1 Li 0.0000 0.0000 0.0000 1
Sn1 Sn 0.2452 0.2500 0.6250 1
Hg1 Hg 0.0000 0.0000 0.5000 1
```

Calculated values
Total magnetization (Bohr magnetons per cell): 0.00
Formation enthalpy at 0 K (eV per atom): 0.0162
Density of states at the Fermi level (states/eV/cell): 8.3

Below is a relaxed structure of Li3SnHg3, with properties calculated at the GGA-PBE level.

The structure in CIF format:
```
data_Li3SnHg3
_symmetry_space_group_name_H-M 'R -3'
_symmetry_Int_Tables_number 148
_symmetry_space_group_name_Hall '-R 3'
_cell_length_a 7.5334
_cell_length_b 7.5334
_cell_length_c 18.4651
_cell_angle_alpha 90.00
_cell_angle_beta 90.00
_cell_angle_gamma 120.00
loop_
_atom_site_label
_atom_site_type_symbol
_atom_site_fract_x
_atom_site_fract_y
_atom_site_fract_z
_atom_site_occupancy
Li1 Li 0.0459 0.4383 0.3875 1
Sn1 Sn 0.0000 0.0000 0.1562 1
Hg1 Hg 0.0203 0.2502 0.5718 1
```

Calculated values
Total magnetization (Bohr magnetons per cell): 0.00
Formation enthalpy at 0 K (eV per atom): -0.2337
Density of states at the Fermi level (states/eV/cell): 13.8

Below is a relaxed structure of Li7Sn3Hg2, with properties calculated at the GGA-PBE level.

The structure in CIF format:
```
data_Li7Sn3Hg2
_symmetry_space_group_name_H-M 'P 1 2/m 1'
_symmetry_Int_Tables_number 10
_symmetry_space_group_name_Hall '-P 2y'
_cell_length_a 4.8508
_cell_length_b 3.8595
_cell_length_c 12.9896
_cell_angle_alpha 90.00
_cell_angle_beta 92.08
_cell_angle_gamma 90.00
loop_
_atom_site_label
_atom_site_type_symbol
_atom_site_fract_x
_atom_site_fract_y
_atom_site_fract_z
_atom_site_occupancy
Li1 Li 0.0000 0.0000 0.0000 1
Li2 Li 0.0118 0.5000 0.1582 1
Li3 Li 0.2391 0.5000 0.4949 1
Li4 Li 0.4860 0.0000 0.8400 1
Sn1 Sn 0.0202 0.0000 0.3317 1
Sn2 Sn 0.5000 0.5000 0.0000 1
Hg1 Hg 0.4820 0.5000 0.6905 1
```

Calculated values
Total magnetization (Bohr magnetons per cell): 0.00
Formation enthalpy at 0 K (eV per atom): -0.2325
Density of states at the Fermi level (states/eV/cell): 2.6

Below is a relaxed structure of Li6SnHg3, with properties calculated at the GGA-PBE level.

The structure in CIF format:
```
data_Li6SnHg3
_symmetry_space_group_name_H-M 'C m c 21'
_symmetry_Int_Tables_number 36
_symmetry_space_group_name_Hall 'C 2c -2'
_cell_length_a 9.7531
_cell_length_b 14.9101
_cell_length_c 5.4721
_cell_angle_alpha 90.00
_cell_angle_beta 90.00
_cell_angle_gamma 90.00
loop_
_atom_site_label
_atom_site_type_symbol
_atom_site_fract_x
_atom_site_fract_y
_atom_site_fract_z
_atom_site_occupancy
Li1 Li 0.0000 0.0310 0.0000 1
Li2 Li 0.0000 0.2602 0.8509 1
Li3 Li 0.1479 0.4576 0.7915 1
Li4 Li 0.2399 0.2900 0.5758 1
Sn1 Sn 0.0000 0.1795 0.3277 1
Hg1 Hg 0.0000 0.3823 0.3919 1
Hg2 Hg 0.2013 0.1072 0.6809 1
```

Calculated values
Total magnetization (Bohr magnetons per cell): 0.00
Formation enthalpy at 0 K (eV per atom): -0.2403
Density of states at the Fermi level (states/eV/cell): 16.2

Below is a relaxed structure of LiSnHg2, with properties calculated at the GGA-PBE level.

The structure in CIF format:
```
data_LiSnHg2
_symmetry_space_group_name_H-M 'P 4/m m m'
_symmetry_Int_Tables_number 123
_symmetry_space_group_name_Hall '-P 4 2'
_cell_length_a 3.6035
_cell_length_b 3.6035
_cell_length_c 6.9515
_cell_angle_alpha 90.00
_cell_angle_beta 90.00
_cell_angle_gamma 90.00
loop_
_atom_site_label
_atom_site_type_symbol
_atom_site_fract_x
_atom_site_fract_y
_atom_site_fract_z
_atom_site_occupancy
Li1 Li 0.0000 0.0000 0.0000 1
Sn1 Sn 0.0000 0.0000 0.5000 1
Hg1 Hg 0.5000 0.5000 0.2182 1
```

Calculated values
Total magnetization (Bohr magnetons per cell): 0.00
Formation enthalpy at 0 K (eV per atom): -0.1663
Density of states at the Fermi level (states/eV/cell): 1.0